{
  "formula": "SrTaSb",
  "functional": "PBE-GGA",
  "state": "relaxed",
  "cell": [[7.690, -0.003, 0.003], [6.793, 3.225, 0.011], [0.897, -0.564, 3.178]],
  "species": ["Sb", "Ta", "Sr"],
  "fractional_positions": [[0.019, 0.019, 0.981], [0.649, 0.649, 0.351], [0.331, 0.331, 0.669]],
  "sg": "Fmm2, No. 42"
}

***

{
  "formula": "Pm2TmOs",
  "functional": "PBE-GGA",
  "state": "relaxed",
  "cell": [[3.532, 0.000, 0.000], [1.766, 3.059, 0.000], [1.766, 1.020, 10.849]],
  "species": ["Os", "Pm", "Pm", "Tm"],
  "fractional_positions": [[0.500, 0.500, 0.500], [0.105, 0.105, 0.685], [0.895, 0.895, 0.315], [0.000, 0.000, 0.000]],
  "formation_energy_mev_per_atom": 379,
  "sg": "R-3m, No. 166"
}

***

{
  "formula": "LiCuAs2",
  "functional": "PBE-GGA",
  "state": "relaxed",
  "cell": [[-4.118, 6.450, -0.145], [-5.650, -3.522, 3.776], [-3.873, 2.157, 3.974]],
  "species": ["Li", "Li", "As", "As", "As", "As", "Cu", "Cu"],
  "fractional_positions": [[0.500, 0.500, 0.000], [0.250, 0.750, 0.500], [0.875, 0.952, 0.750], [0.048, 0.625, 0.250], [0.702, 0.125, 0.250], [0.375, 0.298, 0.750], [0.000, 0.000, 0.000], [0.750, 0.250, 0.500]],
  "formation_energy_mev_per_atom": -71,
  "sg": "I-42d, No. 122"
}

***

{
  "formula": "CdCl5",
  "functional": "PBE-GGA",
  "state": "relaxed",
  "cell": [[1.853, -5.971, 0.000], [1.853, 5.971, 0.000], [0.000, 0.000, 7.805]],
  "species": ["Cd", "Cl", "Cl", "Cl", "Cl", "Cl"],
  "fractional_positions": [[0.500, 0.500, 0.000], [0.332, 0.668, 0.500], [0.142, 0.858, 0.000], [0.000, 0.000, 0.500], [0.668, 0.332, 0.500], [0.858, 0.142, 0.000]],
  "sg": "Cmmm, No. 65"
}

***

E
In order: -5.601 -5.922 -3.898 -1.927
Unit: eV per atom
E above lowest polymorph
In order: 138.7 558.9 120.2 129.1
Unit: meV/atom
Total magnetic moment
In order: 0.0 0.0 0.0 0.0
Unit: μB per formula unit